AlCoO2 | PBE+U | relaxed

The value obtained for the final energy is -6.540 eV per atom. The value obtained for the theoretical density is 4.946 Mg/m³. Its density of states at the Fermi level is 5.01 states/eV per cell.

The structure belongs to space group R-3m (No. 166, hexagonal axes); the cell edges are 2.8232, 2.8232 and 17.2059 Å and the angles 90.00°, 90.00° and 120.00°. Symmetry generates all atoms from Al at (0.0000, 0.0000, 0.0000), Co at (0.0000, 0.0000, 0.5000) and O at (0.0000, 0.0000, 0.3902).